{
  "formula": "Pm4CSe2N",
  "functional": "PBE",
  "state": "relaxed",
  "lattice": [[6.659, 0.000, 0.000], [0.000, 3.852, 0.000], [-2.225, 0.000, 6.749]],
  "species": ["Pm", "Pm", "Pm", "Pm", "C", "Se", "Se", "N"],
  "frac_coords": [[0.235, 0.000, 0.203], [0.264, 0.500, 0.793], [0.736, 0.500, 0.207], [0.765, 0.000, 0.797], [0.500, 0.000, 0.000], [0.000, 0.000, 0.500], [0.500, 0.500, 0.500], [0.000, 0.500, 0.000]],
  "dos_ef_per_ev_fu": 1.9,
  "crystal_system": "monoclinic",
  "e_form_raw_ev_per_atom": -1.36
}


{
  "formula": "KNa2Hg2",
  "functional": "PBE",
  "state": "relaxed",
  "lattice": [[9.076, 0.000, 0.000], [0.000, 9.076, 0.000], [0.000, 0.000, 3.916]],
  "species": ["K", "K", "Na", "Na", "Na", "Na", "Hg", "Hg", "Hg", "Hg"],
  "frac_coords": [[0.000, 0.000, 0.000], [0.500, 0.500, 0.000], [0.165, 0.335, 0.500], [0.335, 0.835, 0.500], [0.665, 0.165, 0.500], [0.835, 0.665, 0.500], [0.122, 0.622, 0.000], [0.378, 0.122, 0.000], [0.622, 0.878, 0.000], [0.878, 0.378, 0.000]],
  "delta_e_f_ev_per_atom": -0.18,
  "dos_ef_per_ev_fu": 3.3,
  "crystal_system": "tetragonal",
  "e_above_lowest_polymorph_ev_per_atom": 0.010
}


{
  "formula": "Ca2YTlBr8",
  "functional": "PBE",
  "state": "relaxed",
  "lattice": [[6.731, 0.000, 0.000], [0.000, 9.078, 0.000], [-0.050, 0.000, 7.073]],
  "species": ["Ca", "Ca", "Y", "Tl", "Br", "Br", "Br", "Br", "Br", "Br", "Br", "Br"],
  "frac_coords": [[0.000, 0.247, 0.000], [0.000, 0.753, 0.000], [0.500, 0.500, 0.500], [0.500, 0.000, 0.500], [0.228, 0.000, 0.869], [0.240, 0.500, 0.827], [0.259, 0.285, 0.334], [0.259, 0.715, 0.334], [0.741, 0.285, 0.666], [0.741, 0.715, 0.666], [0.760, 0.500, 0.173], [0.772, 0.000, 0.131]],
  "dos_ef_per_ev_fu": 0.0,
  "crystal_system": "monoclinic",
  "e_form_raw_ev_per_atom": -1.75
}


{
  "formula": "RhBr3",
  "functional": "PBE",
  "state": "relaxed",
  "lattice": [[1.553, 0.897, 12.241], [-1.553, 0.897, 12.241], [0.000, -1.793, 12.241]],
  "species": ["Rh", "Br", "Br", "Br"],
  "frac_coords": [[0.000, 0.000, 0.000], [0.064, 0.064, 0.064], [0.500, 0.500, 0.500], [0.936, 0.936, 0.936]],
  "dos_ef_per_ev_fu": 3.8,
  "crystal_system": "trigonal",
  "e_form_raw_ev_per_atom": 0.32
}


{
  "formula": "Ta2TlC",
  "functional": "PBE",
  "state": "relaxed",
  "lattice": [[0.000, 3.193, 3.193], [3.193, 0.000, 3.193], [3.193, 3.193, 0.000]],
  "species": ["Ta", "Ta", "Tl", "C"],
  "frac_coords": [[0.250, 0.250, 0.250], [0.750, 0.750, 0.750], [0.000, 0.000, 0.000], [0.500, 0.500, 0.500]],
  "delta_e_f_ev_per_atom": 1.49,
  "dos_ef_per_ev_fu": 5.0,
  "crystal_system": "cubic"
}


{
  "formula": "LaScTlAg",
  "functional": "PBE",
  "state": "relaxed",
  "lattice": [[0.000, 3.742, 3.742], [3.742, 0.000, 3.742], [3.742, 3.742, 0.000]],
  "species": ["La", "Sc", "Tl", "Ag"],
  "frac_coords": [[0.000, 0.000, 0.000], [0.500, 0.500, 0.500], [0.750, 0.750, 0.750], [0.250, 0.250, 0.250]],
  "delta_e_f_ev_per_atom": -0.27,
  "dos_ef_per_ev_fu": 3.7,
  "crystal_system": "cubic"
}